Record 1
This record from the Alexandria database describes a relaxed structure of LaNi3Ir. The functional is PBE.

Its formation energy from the elements is 0.270 eV per atom. The calculation puts the density of states at the Fermi level at 4.92 states/eV per cell. The calculation puts the energy relative to the lowest polymorph listed for this composition at 247 kJ/mol of formula units. Its space-group type is No. 221. The calculation puts the total magnetization at 2.14 μB/cell.

extended XYZ file:
```
5
Lattice="4.614 0.000 0.000 0.000 4.614 0.000 0.000 0.000 4.614" Properties=species:S:1:pos:R:3 pbc="T T T"
Ni 2.307 0.000 0.000
Ni 0.000 0.000 2.307
Ni 0.000 2.307 0.000
Ir 0.000 0.000 0.000
La 2.307 2.307 2.307
```

---

Record 2
This record from the Alexandria database describes a relaxed structure of LaNiIr2. The functional is PBE.

Its formation energy from the elements is -0.112 eV per atom. The calculation puts the density of states at the Fermi level at 5.13 states/eV per cell. The calculation puts the energy relative to the lowest polymorph listed for this composition at 171 kJ/mol of formula units. Its space-group type is No. 122. The calculation puts the total magnetization at 0.00 μB/cell.

extended XYZ file:
```
8
Lattice="-0.693 -3.896 -2.331 1.846 -2.396 3.456 -7.008 -3.906 4.087" Properties=species:S:1:pos:R:3 pbc="T T T"
La -3.562 -5.475 1.159
La 0.000 0.000 0.000
Ir -4.541 -8.054 3.499
Ir -0.795 -3.582 2.519
Ir -1.844 -3.091 0.368
Ir -4.529 -5.671 4.038
Ni -2.292 -4.725 4.053
Ni 0.577 -3.146 0.562
```

---

Record 3
This record from the Alexandria database describes a relaxed structure of La3Ni4Ir4. The functional is PBE.

Its formation energy from the elements is -0.262 eV per atom. The calculation puts the density of states at the Fermi level at 12.81 states/eV per cell. Its space-group type is No. 217. The calculation puts the total magnetization at 0.00 μB/cell.

extended XYZ file:
```
11
Lattice="6.557 0.000 0.000 -2.186 6.182 0.000 -2.186 -3.091 5.354" Properties=species:S:1:pos:R:3 pbc="T T T"
Ni 3.954 0.000 0.000
Ni -1.318 3.728 0.000
Ni 0.868 1.227 2.126
Ni -1.318 -1.864 3.228
La -2.186 1.545 2.677
La 2.186 -1.545 2.677
La 2.186 3.091 0.000
Ir 1.630 0.000 0.000
Ir -0.543 1.537 0.000
Ir -0.543 -0.768 1.331
Ir 1.642 2.323 4.023
```

---

Record 4
This record from the Alexandria database describes a relaxed structure of La2Ni2Ir. The functional is PBE.

Its formation energy from the elements is -0.483 eV per atom. The calculation puts the density of states at the Fermi level at 4.19 states/eV per cell. The calculation puts the energy relative to the lowest polymorph listed for this composition at 0 kJ/mol of formula units. Its space-group type is No. 71. The calculation puts the total magnetization at 0.00 μB/cell.

extended XYZ file:
```
5
Lattice="4.312 0.000 -1.632 -0.844 4.395 -2.230 -0.384 -0.128 5.499" Properties=species:S:1:pos:R:3 pbc="T T T"
Ir 0.000 0.000 0.000
La 0.106 3.007 0.280
La 2.978 1.260 1.357
Ni 1.947 1.091 -1.369
Ni 1.522 3.305 -2.493
```